Run one
Computed, not measured: SmTlNiS3 after structural relaxation at the GGA-PBE level of DFT.

The structure in extended XYZ format:
```
12
Lattice="7.037 -1.967 0.000 7.037 1.967 0.000 0.000 0.000 10.591" Properties=species:S:1:pos:R:3 pbc="T T T"
Tl 3.547 0.000 7.943
Tl 10.526 0.000 2.648
Ni 7.397 0.000 7.943
Ni 6.676 0.000 2.648
S 5.275 0.000 0.869
S 8.799 0.000 6.165
S 8.799 0.000 9.721
S 5.275 0.000 4.426
S 0.851 0.000 2.648
S 13.223 0.000 7.943
Sm 0.000 0.000 5.295
Sm 0.000 0.000 0.000
```

Summary:
* mass density: 5.77 g cm⁻³

Run two
Computed, not measured: SmTlNiS3 after structural relaxation at the GGA-PBE level of DFT.

The structure in extended XYZ format:
```
24
Lattice="11.118 0.000 0.000 0.000 4.113 0.000 0.000 0.000 11.794" Properties=species:S:1:pos:R:3 pbc="T T T"
Tl 9.249 2.057 11.677
Tl 7.427 0.000 5.781
Tl 3.691 2.057 6.013
Tl 1.868 0.000 0.116
S 10.582 0.000 2.059
S 8.123 2.057 3.188
S 0.536 2.057 9.735
S 9.857 2.057 6.545
S 2.564 2.057 2.709
S 2.995 0.000 8.606
S 5.023 0.000 3.838
S 1.261 0.000 5.249
S 6.095 2.057 7.955
S 4.298 2.057 11.146
S 6.819 0.000 0.648
S 8.554 0.000 9.084
Sm 5.414 2.057 1.983
Sm 5.704 0.000 9.810
Sm 10.973 2.057 3.914
Sm 0.145 0.000 7.880
Ni 8.363 0.000 2.350
Ni 2.805 0.000 3.546
Ni 2.754 2.057 9.443
Ni 8.313 2.057 8.247
```

Summary:
* mass density: 6.28 g cm⁻³

Decreasing stability: run two, run one

Run one
Computed, not measured: Ni17Sb after structural relaxation at the GGA-PBE level of DFT.

The structure in extended XYZ format:
```
36
Lattice="4.283 0.000 0.000 0.000 4.951 0.000 -0.008 0.000 30.815" Properties=species:S:1:pos:R:3 pbc="T T T"
Ni 0.715 1.214 8.032
Ni 1.414 2.476 28.804
Ni 3.565 3.714 4.022
Ni -0.001 2.476 24.786
Ni 1.425 2.476 4.026
Ni 3.565 1.238 4.022
Ni 2.142 3.714 0.000
Ni 1.424 0.000 4.012
Ni 0.715 3.738 8.032
Ni 0.005 0.000 24.779
Ni -0.008 0.000 30.809
Ni 3.560 1.263 22.783
Ni 2.137 1.234 24.780
Ni 0.710 1.238 26.789
Ni 1.423 0.000 28.796
Ni 0.714 3.712 2.018
Ni 3.560 3.689 22.783
Ni 4.282 2.476 0.005
Ni 2.849 0.000 26.786
Ni 0.714 1.239 2.018
Ni 2.852 2.476 2.019
Ni 2.142 1.238 0.000
Ni 3.561 3.715 28.797
Ni 2.138 3.709 6.038
Ni 2.138 1.242 6.038
Ni 3.561 1.237 28.797
Ni 4.270 2.476 6.040
Ni 1.406 2.476 22.772
Ni 0.710 3.713 26.789
Ni 2.852 2.476 26.800
Ni 4.275 0.000 6.031
Ni 2.860 0.000 2.011
Ni 2.869 0.000 8.043
Ni 2.137 3.718 24.780
Sb 2.854 2.476 8.612
Sb 1.421 0.000 22.200
```

Summary:
* mass density: 5.69 g cm⁻³

Run two
Computed, not measured: Ni17Sb after structural relaxation at the GGA-PBE level of DFT.

The structure in extended XYZ format:
```
36
Lattice="4.980 0.000 0.000 -2.490 4.313 0.000 0.000 0.000 31.024" Properties=species:S:1:pos:R:3 pbc="T T T"
Ni 2.490 2.876 17.515
Ni 0.000 1.439 19.528
Ni 1.246 3.595 13.506
Ni 1.245 2.156 15.512
Ni 0.000 4.309 21.553
Ni 2.490 1.438 13.499
Ni 1.245 0.719 11.495
Ni 2.490 2.875 11.495
Ni 0.000 2.875 17.519
Ni 2.490 0.003 9.473
Ni 1.250 3.597 7.466
Ni 2.490 2.880 23.562
Ni 1.244 3.594 19.528
Ni 0.000 1.432 7.466
Ni -1.245 2.156 15.512
Ni 0.000 0.000 21.540
Ni -1.246 3.595 13.506
Ni -1.250 3.597 7.466
Ni 2.490 0.000 15.512
Ni 2.490 1.438 19.523
Ni 1.248 2.155 9.473
Ni -1.241 2.159 21.553
Ni 3.735 0.719 11.495
Ni 1.241 2.159 21.553
Ni 0.000 2.875 11.505
Ni 3.732 2.155 9.473
Ni -1.244 3.594 19.528
Ni 3.740 0.716 23.562
Ni 0.000 0.000 9.483
Ni 0.000 0.000 15.512
Ni 1.245 0.719 17.515
Ni 1.241 0.716 23.562
Ni 3.736 0.719 17.515
Ni 0.000 1.436 13.506
Sb 2.490 1.438 7.013
Sb 0.000 2.875 24.004
```

Summary:
* mass density: 5.58 g cm⁻³

Decreasing stability: run two, run one

Run one
Computed, not measured: ScZnNiSb after structural relaxation at the GGA-PBE level of DFT.

The structure in extended XYZ format:
```
4
Lattice="0.000 3.277 3.277 3.277 0.000 3.277 3.277 3.277 0.000" Properties=species:S:1:pos:R:3 pbc="T T T"
Zn 4.916 4.916 4.916
Sb 1.639 1.639 1.639
Sc 0.000 0.000 0.000
Ni 3.277 3.277 3.277
```

Summary:
* mass density: 6.86 g cm⁻³

Run two
Computed, not measured: ScZnNiSb after structural relaxation at the GGA-PBE level of DFT.

The structure in extended XYZ format:
```
4
Lattice="-4.238 -1.710 -0.530 -2.946 0.018 3.534 -3.631 2.825 -0.047" Properties=species:S:1:pos:R:3 pbc="T T T"
Zn -8.112 0.850 2.218
Sc -5.408 0.567 1.479
Ni -2.704 0.283 0.739
Sb 0.000 0.000 0.000
```

Summary:
* mass density: 7.01 g cm⁻³

Decreasing stability: run two, run one

Run one
Computed, not measured: TaTcNiSb after structural relaxation at the GGA-PBE level of DFT.

The structure in extended XYZ format:
```
4
Lattice="0.590 1.268 4.261 -3.496 1.432 2.418 -1.607 -2.531 3.336" Properties=species:S:1:pos:R:3 pbc="T T T"
Sb 0.000 0.000 0.000
Tc -1.128 0.042 2.504
Ni -3.385 0.127 7.511
Ta -2.256 0.085 5.007
```

Summary:
* mass density: 11.96 g cm⁻³

Run two
Computed, not measured: TaTcNiSb after structural relaxation at the GGA-PBE level of DFT.

The structure in extended XYZ format:
```
4
Lattice="0.000 3.190 3.190 3.190 0.000 3.190 3.190 3.190 0.000" Properties=species:S:1:pos:R:3 pbc="T T T"
Sb 0.000 0.000 0.000
Ni 4.785 4.785 4.785
Ta 1.595 1.595 1.595
Tc 3.190 3.190 3.190
```

Summary:
* mass density: 11.75 g cm⁻³

Decreasing stability: run one, run two

Run one
Computed, not measured: ZnNiSb after structural relaxation at the GGA-PBE level of DFT.

The structure in extended XYZ format:
```
6
Lattice="-1.534 -4.046 -0.563 0.883 1.459 4.017 -5.938 2.180 0.514" Properties=species:S:1:pos:R:3 pbc="T T T"
Zn 0.000 0.000 0.000
Zn -2.969 1.090 0.257
Sb -1.407 0.169 2.619
Sb -5.182 -0.576 1.349
Ni -2.213 -1.666 1.092
Ni -4.376 1.259 2.876
```

Summary:
* mass density: 7.80 g cm⁻³

Run two
Computed, not measured: ZnNiSb after structural relaxation at the GGA-PBE level of DFT.

The structure in extended XYZ format:
```
9
Lattice="-4.066 -5.867 -0.303 5.284 0.441 4.788 -2.258 1.443 2.360" Properties=species:S:1:pos:R:3 pbc="T T T"
Sb -0.949 -3.765 1.394
Sb -1.129 0.721 1.180
Sb 2.168 -1.662 3.091
Zn 0.876 -3.898 3.222
Zn -1.145 -1.653 -0.085
Zn 1.488 0.124 1.349
Ni 2.257 1.004 4.248
Ni -3.734 -3.038 0.985
Ni -0.691 -1.228 2.791
```

Summary:
* mass density: 7.76 g cm⁻³

Run three
Computed, not measured: ZnNiSb after structural relaxation at the GGA-PBE level of DFT.

The structure in extended XYZ format:
```
12
Lattice="-3.018 -0.468 -5.904 -3.204 -0.726 1.695 -1.652 7.816 0.225" Properties=species:S:1:pos:R:3 pbc="T T T"
Ni -4.917 0.199 -3.160
Ni -2.958 6.423 -0.823
Ni -3.770 2.146 -0.159
Ni -4.105 4.476 -3.825
Sb -1.289 1.082 0.043
Sb -3.076 2.163 -2.871
Sb -6.586 5.540 -4.027
Sb -4.799 4.459 -1.113
Zn -2.085 4.094 -0.172
Zn -4.241 6.919 -3.036
Zn -3.633 -0.297 -0.947
Zn -5.789 2.528 -3.811
```

Summary:
* mass density: 8.32 g cm⁻³

Decreasing stability: run three, run one, run two

Run one
Computed, not measured: ZnNiSb after structural relaxation at the GGA-PBE level of DFT.

The structure in extended XYZ format:
```
9
Lattice="-4.306 -0.782 6.172 6.074 -4.408 -0.958 1.807 2.156 1.533" Properties=species:S:1:pos:R:3 pbc="T T T"
Zn 0.903 1.078 0.767
Zn -0.846 -1.990 3.795
Zn 2.614 -3.199 1.418
Ni 4.411 -1.468 0.213
Ni 1.650 -1.115 2.969
Ni -1.583 0.627 4.331
Sb 1.827 -1.326 -0.288
Sb 1.236 -3.629 3.645
Sb -1.295 -0.235 1.857
```

Summary:
* mass density: 7.71 g cm⁻³

Run two
Computed, not measured: ZnNiSb after structural relaxation at the GGA-PBE level of DFT.

The structure in extended XYZ format:
```
9
Lattice="-5.296 -3.360 2.110 6.072 -2.451 0.958 0.220 2.014 3.759" Properties=species:S:1:pos:R:3 pbc="T T T"
Sb 2.282 -2.754 1.342
Sb 0.110 1.007 1.879
Sb -1.507 -3.057 1.726
Ni 1.396 -0.564 0.220
Ni 0.598 -4.475 2.363
Ni -1.218 -0.773 0.485
Zn 2.655 -0.020 2.281
Zn -2.110 -0.402 2.764
Zn 0.561 -2.368 3.662
```

Summary:
* mass density: 7.56 g cm⁻³

Run three
Computed, not measured: ZnNiSb after structural relaxation at the GGA-PBE level of DFT.

The structure in extended XYZ format:
```
3
Lattice="3.911 -1.285 -0.839 1.292 -3.782 1.297 0.649 -3.071 -2.794" Properties=species:S:1:pos:R:3 pbc="T T T"
Sb 1.463 -2.034 -0.584
Zn 4.389 -6.103 -1.751
Ni 0.000 0.000 0.000
```

Summary:
* mass density: 7.78 g cm⁻³

Decreasing stability: run three, run two, run one